No. 1
The following is a DFT calculation (GGA-PBE) of an optimized crystal structure of ScAg3Pb.

Summary:
For the energy relative to the elements, the calculation gives 0.71 eV/atom. As for the calculated density: 6.705 Mg/m³.

CIF file:
```
data_ScAg3Pb
_chemical_formula_sum 'Sc1 Ag3 Pb1'
_cell_length_a 5.224
_cell_length_b 5.224
_cell_length_c 5.224
_cell_angle_alpha 90.00
_cell_angle_beta 90.00
_cell_angle_gamma 90.00
_symmetry_space_group_name_H-M 'P m -3 m'
_symmetry_Int_Tables_number 221
_symmetry_space_group_name_Hall '-P 4 2 3'
loop_
_atom_site_label
_atom_site_type_symbol
_atom_site_fract_x
_atom_site_fract_y
_atom_site_fract_z
Sc1 Sc 0.000 0.000 0.000
Ag1 Ag 0.000 0.500 0.500
Pb1 Pb 0.500 0.500 0.500
```


No. 2
The following is a DFT calculation (GGA-PBE) of an optimized crystal structure of YAs.

Summary:
For the energy relative to the elements, the calculation gives -1.56 eV/atom. As for the calculated density: 5.488 Mg/m³.

CIF file:
```
data_YAs
_chemical_formula_sum 'Y4 As4'
_cell_length_a 5.831
_cell_length_b 5.831
_cell_length_c 5.831
_cell_angle_alpha 90.00
_cell_angle_beta 90.00
_cell_angle_gamma 90.00
_symmetry_space_group_name_H-M 'F m -3 m'
_symmetry_Int_Tables_number 225
_symmetry_space_group_name_Hall '-F 4 2 3'
loop_
_atom_site_label
_atom_site_type_symbol
_atom_site_fract_x
_atom_site_fract_y
_atom_site_fract_z
Y1 Y 0.000 0.000 0.000
As1 As 0.000 0.000 0.500
```


No. 3
The following is a DFT calculation (GGA-PBE) of an optimized crystal structure of NpNbB4.

Summary:
For the energy relative to the elements, the calculation gives -0.03 eV/atom. As for the calculated density: 9.455 Mg/m³.

CIF file:
```
data_NpNbB4
_chemical_formula_sum 'Np4 Nb4 B16'
_cell_length_a 7.613
_cell_length_b 9.394
_cell_length_c 3.665
_cell_angle_alpha 90.00
_cell_angle_beta 90.00
_cell_angle_gamma 90.00
_symmetry_space_group_name_H-M 'C m m m'
_symmetry_Int_Tables_number 65
_symmetry_space_group_name_Hall '-C 2 2'
loop_
_atom_site_label
_atom_site_type_symbol
_atom_site_fract_x
_atom_site_fract_y
_atom_site_fract_z
Np1 Np 0.151 0.000 0.000
Nb1 Nb 0.000 0.337 0.000
B1 B 0.000 0.143 0.500
B2 B 0.115 0.500 0.500
B3 B 0.238 0.159 0.500
```


No. 4
The following is a DFT calculation (GGA-PBE) of an optimized crystal structure of TbPm6Y3Ho2.

Summary:
For the energy relative to the elements, the calculation gives 0.01 eV/atom. As for the calculated density: 6.829 Mg/m³.

CIF file:
```
data_TbPm6Y3Ho2
_chemical_formula_sum 'Tb2 Pm12 Y6 Ho4'
_cell_length_a 6.254
_cell_length_b 10.829
_cell_length_c 11.857
_cell_angle_alpha 90.00
_cell_angle_beta 100.09
_cell_angle_gamma 90.00
_symmetry_space_group_name_H-M 'C 1 2/m 1'
_symmetry_Int_Tables_number 12
loop_
_symmetry_equiv_pos_as_xyz
'x,y,z'
'-x,-y,-z'
'-x,y,-z'
'x,-y,z'
'x+1/2,y+1/2,z'
'-x+1/2,-y+1/2,-z'
'-x+1/2,y+1/2,-z'
'x+1/2,-y+1/2,z'
loop_
_atom_site_label
_atom_site_type_symbol
_atom_site_fract_x
_atom_site_fract_y
_atom_site_fract_z
Tb1 Tb 0.000 0.000 0.000
Pm1 Pm 0.250 0.000 0.751
Pm2 Pm 0.250 0.167 0.249
Y1 Y 0.000 0.167 0.500
Y2 Y 0.000 0.500 0.500
Ho1 Ho 0.000 0.333 0.000
```


Q: What is the calculated density in the third record?
A: 9.455 Mg/m³